No. 1
DFT (PBE-GGA) results for crystalline CoAg at its relaxed geometry.

Cell: 7.0010 7.0010 7.0010 Å, 90.00 90.00 90.00°
Each line ends with the local moment (μB).
Fractional coordinates of all 12 atoms:
Co 0.0000 0.7500 0.5000  2.00
Co 0.2500 0.5000 0.0000  2.00
Co 0.0000 0.2500 0.5000  2.00
Co 0.7500 0.5000 0.0000  2.00
Co 0.5000 0.0000 0.2500  2.00
Co 0.5000 0.0000 0.7500  2.00
Ag 0.5000 0.2500 0.0000  0.08
Ag 0.0000 0.5000 0.2500  0.08
Ag 0.0000 0.5000 0.7500  0.08
Ag 0.7500 0.0000 0.5000  0.08
Ag 0.2500 0.0000 0.5000  0.08
Ag 0.5000 0.7500 0.0000  0.08

**Space-group type**: Pm-3n (223)
**E_tot**: -3.358 eV/atom
**DOS at the Fermi energy**: 22.037 states/eV/cell
**Total moment**: 12.34 μB/cell
**Crystal system**: cubic



No. 2
DFT (PBE-GGA) results for crystalline CoAg at its relaxed geometry.

Cell: 4.6767 4.6767 7.7542 Å, 68.42 68.42 33.96°
Each line ends with the local moment (μB).
Fractional coordinates of all 6 atoms:
Ag 0.9688 0.9688 0.0324  -0.01
Ag 0.6389 0.6389 0.2222  -0.02
Ag 0.3090 0.3090 0.4121  -0.01
Co 0.9729 0.9729 0.5989  1.71
Co 0.6388 0.6388 0.7222  1.73
Co 0.3049 0.3049 0.8454  1.71

**Space-group type**: C2/m (12)
**E_tot**: -4.683 eV/atom
**DOS at the Fermi energy**: 5.089 states/eV/cell
**Total moment**: 4.96 μB/cell
**Crystal system**: monoclinic



No. 3
DFT (PBE-GGA) results for crystalline CoAg at its relaxed geometry.

Cell: 4.4730 5.4251 4.7676 Å, 90.00 90.00 90.00°
Each line ends with the local moment (μB).
Fractional coordinates of all 8 atoms:
Ag 0.2500 0.1242 0.0958  0.00
Ag 0.2500 0.3758 0.5958  0.00
Ag 0.7500 0.8758 0.9042  0.00
Ag 0.7500 0.6242 0.4042  0.00
Co 0.2500 0.8750 0.5719  1.76
Co 0.7500 0.1250 0.4281  1.76
Co 0.2500 0.6250 0.0719  1.76
Co 0.7500 0.3750 0.9281  1.76

**Space-group type**: Pnma (62)
**E_tot**: -4.517 eV/atom
**DOS at the Fermi energy**: 8.990 states/eV/cell
**Total moment**: 6.78 μB/cell
**Crystal system**: orthorhombic



No. 4
DFT (PBE-GGA) results for crystalline CoAg at its relaxed geometry.

Cell: 7.7184 7.7184 3.5946 Å, 90.00 90.00 120.00°
Each line ends with the local moment (μB).
Fractional coordinates of all 12 atoms:
Co 0.5604 0.1208 0.7500  1.79
Co 0.4396 0.8792 0.2500  1.79
Co 0.8792 0.4396 0.7500  1.79
Co 0.1208 0.5604 0.2500  1.79
Co 0.5604 0.4396 0.7500  1.79
Co 0.4396 0.5604 0.2500  1.79
Ag 0.1625 0.8375 0.7500  0.00
Ag 0.8375 0.1625 0.2500  0.00
Ag 0.3249 0.1625 0.2500  0.00
Ag 0.6751 0.8375 0.7500  0.00
Ag 0.8375 0.6751 0.2500  0.00
Ag 0.1625 0.3249 0.7500  0.00

**Space-group type**: P6_3/mmc (194)
**E_tot**: -4.591 eV/atom
**DOS at the Fermi energy**: 7.381 states/eV/cell
**Total moment**: 10.52 μB/cell
**Crystal system**: hexagonal



Which of these has the highest total moment? number 1



Which value of E_tot does entry 2 give? -4.683 eV/atom



What did the fourth record say?
DFT (PBE-GGA) results for crystalline CoAg at its relaxed geometry.

Cell: 7.7184 7.7184 3.5946 Å, 90.00 90.00 120.00°
Each line ends with the local moment (μB).
Fractional coordinates of all 12 atoms:
Co 0.5604 0.1208 0.7500  1.79
Co 0.4396 0.8792 0.2500  1.79
Co 0.8792 0.4396 0.7500  1.79
Co 0.1208 0.5604 0.2500  1.79
Co 0.5604 0.4396 0.7500  1.79
Co 0.4396 0.5604 0.2500  1.79
Ag 0.1625 0.8375 0.7500  0.00
Ag 0.8375 0.1625 0.2500  0.00
Ag 0.3249 0.1625 0.2500  0.00
Ag 0.6751 0.8375 0.7500  0.00
Ag 0.8375 0.6751 0.2500  0.00
Ag 0.1625 0.3249 0.7500  0.00

**Space-group type**: P6_3/mmc (194)
**E_tot**: -4.591 eV/atom
**DOS at the Fermi energy**: 7.381 states/eV/cell
**Total moment**: 10.52 μB/cell
**Crystal system**: hexagonal



Among the records above, which one has the highest E_tot? number 1